(1)
A plane-wave DFT calculation with PBE was carried out for crystalline DyPa2Sb at its relaxed geometry.

Unit cell a=5.0813 b=4.4612 c=4.4612 alpha=90.00 beta=90.00 gamma=90.00
Closest atoms and distances in Å follow each position.
Atoms (fractional coordinates):
Sb 0.5000 0.0000 0.0000  4 Dy 3.15, 8 Pa 3.38
Pa 0.0000 0.0000 0.5000  4 Pa 3.15, 4 Sb 3.38, 4 Dy 3.38
Pa 0.0000 0.5000 0.0000  4 Pa 3.15, 4 Sb 3.38, 4 Dy 3.38
Dy 0.5000 0.5000 0.5000  4 Sb 3.15, 8 Pa 3.38

Output
* total moment: 0.09 μB/atom
* raw formation energy: -0.28 eV per atom

=====

(2)
A plane-wave DFT calculation with PBE was carried out for crystalline DyPaSb2 at its relaxed geometry.

Unit cell a=4.3676 b=4.3676 c=7.6177 alpha=73.34 beta=73.34 gamma=60.00
Closest atoms and distances in Å follow each position.
Atoms (fractional coordinates):
Sb 0.2494 0.2494 0.2518  3 Dy 3.09, 3 Pa 3.10
Sb 0.7506 0.7506 0.7482  3 Dy 3.09, 3 Pa 3.10
Pa 0.0000 0.0000 0.0000  6 Sb 3.10
Dy 0.5000 0.5000 0.5000  6 Sb 3.09

Output
* offset from the most stable computed form: 2 meV/atom
* total moment: 0.26 μB/atom
* raw formation energy: -0.77 eV per atom

=====

(3)
A plane-wave DFT calculation with PBE was carried out for crystalline DyPaSb2 at its relaxed geometry.

Unit cell a=3.8027 b=5.2780 c=5.2780 alpha=90.00 beta=90.00 gamma=90.00
Closest atoms and distances in Å follow each position.
Atoms (fractional coordinates):
Sb 0.0000 0.0000 0.5000  4 Dy 3.25, 4 Pa 3.25
Sb 0.0000 0.5000 0.0000  4 Dy 3.25, 4 Pa 3.25
Pa 0.5000 0.0000 0.0000  8 Sb 3.25
Dy 0.5000 0.5000 0.5000  8 Sb 3.25

Output
* offset from the most stable computed form: 152 meV/atom
* total moment: 0.33 μB/atom
* raw formation energy: -0.62 eV per atom

=====

(4)
A plane-wave DFT calculation with PBE was carried out for crystalline DyPaSb2 at its relaxed geometry.

Unit cell a=4.3004 b=4.3004 c=7.9038 alpha=74.21 beta=74.21 gamma=60.00
Closest atoms and distances in Å follow each position.
Atoms (fractional coordinates):
Dy 0.4962 0.4962 0.5115  6 Sb 3.07-3.18
Pa 0.6698 0.6698 0.9907  6 Sb 3.06-3.14
Sb 0.0828 0.0828 0.7517  3 Pa 3.06, 3 Dy 3.07
Sb 0.2513 0.2513 0.2460  3 Pa 3.14, 3 Dy 3.18

Output
* offset from the most stable computed form: 101 meV/atom
* total moment: 0.15 μB/atom
* raw formation energy: -0.67 eV per atom

=====

(5)
A plane-wave DFT calculation with PBE was carried out for crystalline DyPaSb2 at its relaxed geometry.

Unit cell a=7.5955 b=7.5686 c=9.7822 alpha=104.93 beta=105.04 gamma=109.45
Closest atoms and distances in Å follow each position.
Atoms (fractional coordinates):
Dy 0.1875 0.9375 0.8750  6 Sb 3.09
Dy 0.9375 0.6875 0.3751  6 Sb 3.09
Dy 0.0625 0.3125 0.6249  6 Sb 3.09
Dy 0.8125 0.0625 0.1250  6 Sb 3.09
Pa 0.5625 0.8125 0.6250  6 Sb 3.10
Pa 0.6874 0.4374 0.8748  6 Sb 3.09-3.10
Pa 0.3126 0.5626 0.1252  6 Sb 3.09-3.10
Pa 0.4375 0.1875 0.3750  6 Sb 3.10
Sb 0.1859 0.4363 0.3749  3 Dy 3.09, 3 Pa 3.10
Sb 0.5628 0.3125 0.1248  3 Dy 3.09, 3 Pa 3.09-3.10
Sb 0.0620 0.8123 0.1248  3 Dy 3.09, 3 Pa 3.09-3.10
Sb 0.3110 0.0614 0.6251  3 Dy 3.09, 3 Pa 3.10
Sb 0.6890 0.9386 0.3749  3 Dy 3.09, 3 Pa 3.10
Sb 0.9380 0.1877 0.8752  3 Dy 3.09, 3 Pa 3.09-3.10
Sb 0.4372 0.6875 0.8752  3 Dy 3.09, 3 Pa 3.09-3.10
Sb 0.8141 0.5637 0.6251  3 Dy 3.09, 3 Pa 3.10

Output
* offset from the most stable computed form: 0 meV/atom
* total moment: 0.24 μB/atom
* raw formation energy: -0.77 eV per atom

=====

(6)
A plane-wave DFT calculation with PBE was carried out for crystalline Dy2PaSb at its relaxed geometry.

Unit cell a=3.8536 b=3.8536 c=7.2836 alpha=90.00 beta=90.00 gamma=90.00
Closest atoms and distances in Å follow each position.
Atoms (fractional coordinates):
Sb 0.5000 0.5000 0.5000  8 Dy 3.19
Pa 0.5000 0.5000 0.0000  8 Dy 3.37, 2 Sb 3.64
Dy 0.0000 0.0000 0.7277  4 Sb 3.19, 1 Dy 3.32, 4 Pa 3.37
Dy 0.0000 0.0000 0.2723  4 Sb 3.19, 1 Dy 3.32, 4 Pa 3.37

Output
* offset from the most stable computed form: 0 meV/atom
* total moment: 0.00 μB/atom
* raw formation energy: -0.31 eV per atom

=====

(7)
A plane-wave DFT calculation with PBE was carried out for crystalline Dy5Pa3Sb8 at its relaxed geometry.

Unit cell a=8.7459 b=8.7459 c=8.7699 alpha=60.09 beta=60.09 gamma=60.00
Closest atoms and distances in Å follow each position.
Atoms (fractional coordinates):
Dy 0.5000 0.0000 0.0000  6 Sb 3.09-3.10
Dy 0.5000 0.5000 0.0000  6 Sb 3.09-3.10
Dy 0.0000 0.0000 0.0000  6 Sb 3.10
Dy 0.0000 0.5000 0.0000  6 Sb 3.09-3.10
Dy 0.5000 0.5000 0.5000  6 Sb 3.10
Pa 0.5000 0.0000 0.5000  6 Sb 3.10-3.11
Pa 0.0000 0.0000 0.5000  6 Sb 3.10-3.11
Pa 0.0000 0.5000 0.5000  6 Sb 3.10-3.11
Sb 0.2500 0.2500 0.7502  4 Dy 3.10, 2 Pa 3.10
Sb 0.2500 0.7498 0.7502  4 Dy 3.10, 2 Pa 3.10
Sb 0.7498 0.2500 0.7502  4 Dy 3.10, 2 Pa 3.10
Sb 0.7493 0.7493 0.7522  3 Dy 3.09, 3 Pa 3.11
Sb 0.7500 0.7500 0.2498  4 Dy 3.10, 2 Pa 3.10
Sb 0.7500 0.2502 0.2498  4 Dy 3.10, 2 Pa 3.10
Sb 0.2502 0.7500 0.2498  4 Dy 3.10, 2 Pa 3.10
Sb 0.2507 0.2507 0.2478  3 Dy 3.09, 3 Pa 3.11

Output
* total moment: 0.19 μB/atom
* raw formation energy: -0.86 eV per atom

=====

(8)
A plane-wave DFT calculation with PBE was carried out for crystalline Dy2PaSb at its relaxed geometry.

Unit cell a=4.5176 b=4.8228 c=4.8228 alpha=90.00 beta=90.00 gamma=90.00
Closest atoms and distances in Å follow each position.
Atoms (fractional coordinates):
Sb 0.5000 0.5000 0.5000  8 Dy 3.30, 4 Pa 3.41
Pa 0.5000 0.0000 0.0000  8 Dy 3.30, 4 Sb 3.41
Dy 0.0000 0.0000 0.5000  4 Sb 3.30, 4 Pa 3.30, 4 Dy 3.41
Dy 0.0000 0.5000 0.0000  4 Sb 3.30, 4 Pa 3.30, 4 Dy 3.41

Output
* offset from the most stable computed form: 28 meV/atom
* total moment: 0.00 μB/atom
* raw formation energy: -0.29 eV per atom

=====

(9)
A plane-wave DFT calculation with PBE was carried out for crystalline Dy5PaSb6 at its relaxed geometry.

Unit cell a=7.5802 b=7.5802 c=7.5790 alpha=99.58 beta=99.58 gamma=120.00
Closest atoms and distances in Å follow each position.
Atoms (fractional coordinates):
Sb 0.4140 0.0830 0.2493  1 Pa 3.08, 5 Dy 3.09-3.10
Sb 0.9170 0.5860 0.7507  1 Pa 3.08, 5 Dy 3.09-3.10
Sb 0.2478 0.2478 0.7514  1 Pa 3.07, 5 Dy 3.09-3.12
Sb 0.7522 0.7522 0.2486  1 Pa 3.07, 5 Dy 3.09-3.12
Sb 0.0830 0.4140 0.2493  1 Pa 3.08, 5 Dy 3.09-3.10
Sb 0.5860 0.9170 0.7507  1 Pa 3.08, 5 Dy 3.09-3.10
Pa 0.0000 0.0000 0.0000  6 Sb 3.07-3.08
Dy 0.8323 0.1677 0.5000  6 Sb 3.09-3.10
Dy 0.6664 0.3336 0.0000  6 Sb 3.09-3.10
Dy 0.5000 0.5000 0.5000  6 Sb 3.09-3.12
Dy 0.3336 0.6664 0.0000  6 Sb 3.09-3.10
Dy 0.1677 0.8323 0.5000  6 Sb 3.09-3.10

Output
* total moment: 0.02 μB/atom
* raw formation energy: -1.02 eV per atom

=====

(10)
A plane-wave DFT calculation with PBE was carried out for crystalline DyPaSb at its relaxed geometry.

Unit cell a=3.9091 b=3.9091 c=6.0740 alpha=108.77 beta=108.77 gamma=90.00
Closest atoms and distances in Å follow each position.
Atoms (fractional coordinates):
Sb 0.2798 0.2798 0.5595  4 Dy 3.18, 4 Pa 3.24
Pa 0.9360 0.9360 0.8720  4 Sb 3.24, 5 Dy 3.26-3.50
Dy 0.6342 0.6342 0.2684  4 Sb 3.18, 5 Pa 3.26-3.50

Output
* offset from the most stable computed form: 131 meV/atom
* total moment: 0.28 μB/atom
* raw formation energy: -0.25 eV per atom

=====

(11)
A plane-wave DFT calculation with PBE was carried out for crystalline DyScPa2Sb4 at its relaxed geometry.

Unit cell a=4.3250 b=7.4858 c=7.5124 alpha=109.44 beta=90.00 gamma=90.00
Closest atoms and distances in Å follow each position.
Atoms (fractional coordinates):
Dy 0.5000 0.5000 0.0000  6 Sb 3.05
Sc 0.0000 0.0000 0.0000  6 Sb 2.99
Pa 0.5000 0.0000 0.5000  6 Sb 3.07
Pa 0.0000 0.5000 0.5000  6 Sb 3.13
Sb 0.5000 0.2397 0.2384  2 Sc 2.99, 1 Dy 3.05, 3 Pa 3.07-3.13
Sb 0.5000 0.7603 0.7616  2 Sc 2.99, 1 Dy 3.05, 3 Pa 3.07-3.13
Sb 0.0000 0.2460 0.7573  1 Sc 2.99, 2 Dy 3.05, 3 Pa 3.07-3.13
Sb 0.0000 0.7540 0.2427  1 Sc 2.99, 2 Dy 3.05, 3 Pa 3.07-3.13

Output
* total moment: 0.24 μB/atom
* raw formation energy: -0.71 eV per atom

=====

(12)
A plane-wave DFT calculation with PBE was carried out for crystalline SmDyPa2Sb4 at its relaxed geometry.

Unit cell a=4.3881 b=7.5967 c=7.6579 alpha=109.34 beta=90.00 gamma=90.00
Closest atoms and distances in Å follow each position.
Atoms (fractional coordinates):
Sm 0.0000 0.0000 0.0000  6 Sb 3.13
Dy 0.5000 0.5000 0.0000  6 Sb 3.11
Pa 0.5000 0.0000 0.5000  6 Sb 3.12
Pa 0.0000 0.5000 0.5000  6 Sb 3.09
Sb 0.5000 0.2535 0.2528  3 Pa 3.09-3.12, 1 Dy 3.11, 2 Sm 3.13
Sb 0.5000 0.7465 0.7472  3 Pa 3.09-3.12, 1 Dy 3.11, 2 Sm 3.13
Sb 0.0000 0.2524 0.7493  3 Pa 3.09-3.12, 2 Dy 3.11, 1 Sm 3.13
Sb 0.0000 0.7476 0.2507  3 Pa 3.09-3.12, 2 Dy 3.11, 1 Sm 3.13

Output
* total moment: 0.24 μB/atom
* raw formation energy: -0.78 eV per atom